A plane-wave DFT calculation with PBE with a Hubbard U was carried out for EuCrTeO6 after structural relaxation.

Values from the calculation:
* symmetry: P-31c, No. 163
* N(E_F): 19.6 states/eV/cell
* E above lowest polymorph: 0.2946 eV per atom

Unit cell a=5.4918 b=5.4918 c=8.5453 alpha=90.00 beta=90.00 gamma=120.00
Atoms (fractional coordinates):
Eu 0.3333 0.6667 0.7500
Eu 0.6667 0.3333 0.2500
Cr 0.0000 0.0000 0.0000
Cr 0.0000 0.0000 0.5000
Te 0.6667 0.3333 0.7500
Te 0.3333 0.6667 0.2500
O 0.9464 0.3016 0.8792
O 0.0536 0.6984 0.1208
O 0.3552 0.0536 0.8792
O 0.3552 0.3016 0.6208
O 0.6448 0.9464 0.1208
O 0.6448 0.6984 0.3792
O 0.6984 0.6448 0.8792
O 0.6984 0.0536 0.6208
O 0.3016 0.3552 0.1208
O 0.3016 0.9464 0.3792
O 0.9464 0.6448 0.6208
O 0.0536 0.3552 0.3792